First-principles (GGA-PBE) data for crystalline AlRh3 at its relaxed geometry, as listed in the Alexandria database.

abc: 4.654 4.654 4.654
angles: 130.95 130.95 71.90
Atoms (fractional coordinates):
Rh: 0.500 0.500 0.000
Rh: 0.250 0.750 0.500
Al: 0.000 0.000 0.000
Rh: 0.750 0.250 0.500

Computed properties:
E_form	-0.4927	eV/atom
electronic total energy	-6.942	eV per atom
D(E_F)	3.03	states/eV per cell
spin magnetization	0.00	Bohr magnetons per cell